1.
{
  "formula": "Li2Be",
  "functional": "PBEsol",
  "state": "optimized geometry",
  "lattice_angstrom": [[4.328, 0.000, 0.000], [-2.164, 3.748, 0.000], [0.000, 0.000, 4.956]],
  "species": ["Li", "Li", "Be", "Li", "Li", "Be"],
  "fractional_positions": [[0.667, 0.333, 0.250], [0.333, 0.667, 0.750], [0.667, 0.333, 0.750], [0.000, 0.000, 0.500], [0.000, 0.000, 0.000], [0.333, 0.667, 0.250]],
  "dft_energy_ev_per_atom": -2.287,
  "delta_e_f_ev_per_atom": 0.358,
  "density_g_cm3": 0.95,
  "e_above_lowest_polymorph_mev_per_atom": 154,
  "magnetic_moment_mub_per_fu": 0.00,
  "spacegroup": "P6_3/mmc, No. 194"
}


2.
{
  "formula": "Li3Be",
  "functional": "PBEsol",
  "state": "optimized geometry",
  "lattice_angstrom": [[-2.578, 0.146, -0.548], [1.173, -2.355, 0.210], [-1.958, -0.157, 9.165]],
  "species": ["Li", "Be", "Li", "Li"],
  "fractional_positions": [[0.333, 0.667, 0.771], [0.000, 0.000, 0.000], [0.333, 0.667, 0.229], [0.000, 0.000, 0.500]],
  "dft_energy_ev_per_atom": -2.232,
  "delta_e_f_ev_per_atom": 0.243,
  "density_g_cm3": 0.88,
  "magnetic_moment_mub_per_fu": 0.00,
  "spacegroup": "P-6m2, No. 187"
}